A relaxed Y3Er2ThSe6 crystal, computed with PBE.

## Properties
D(E_F): 6.5 states/eV/f.u.
size of the total moment: 0.000 μB/atom
energy relative to the elements, uncorrected: -1695 meV/atom

Cell lengths 17.782, 4.063, 8.255 Å; angles 90.00, 101.99, 90.00 degrees
Space group C2/m (No. 12)
One atom of each set of equivalent atoms:
Y 0.000 0.000 0.000 x2
Y 0.159 0.500 0.335 x4
Er 0.164 0.500 0.830 x4
Th 0.000 0.000 0.500 x2
Se 0.003 0.500 0.763 x4
Se 0.170 0.000 0.082 x4
Se 0.173 0.000 0.592 x4



A relaxed ErTiSe3 crystal, computed with PBE.

## Properties
D(E_F): 2.0 states/eV/f.u.
size of the total moment: 0.203 μB/atom
energy relative to the elements, uncorrected: -1361 meV/atom

Cell lengths 8.787, 6.643, 10.030 Å; angles 90.00, 116.97, 90.00 degrees
Space group P2_1/c (No. 14)
One atom of each set of equivalent atoms:
Er 0.223 0.190 0.110 x4
Ti 0.422 0.725 0.520 x4
Se 0.119 0.661 0.448 x4
Se 0.291 0.088 0.404 x4
Se 0.428 0.562 0.289 x4



A relaxed Er2TiSe crystal, computed with PBE.

## Properties
D(E_F): 3.0 states/eV/f.u.
size of the total moment: 0.434 μB/atom
energy relative to the elements, uncorrected: -235 meV/atom

Cell lengths 3.5506, 3.5506, 28.9342 Å; angles 90.00, 90.00, 120.00 degrees
Space group R-3m (No. 166, hexagonal axes)
One atom of each set of equivalent atoms:
Er 0.0000 0.0000 0.1015 x6
Ti 0.0000 0.0000 0.0000 x3
Se 0.0000 0.0000 0.5000 x3



A relaxed Er3TiSe6 crystal, computed with PBE.

## Properties
D(E_F): 5.9 states/eV/f.u.
size of the total moment: 0.100 μB/atom
energy relative to the elements, uncorrected: -1608 meV/atom

Cell lengths 11.5882, 11.5882, 13.9123 Å; angles 90.00, 90.00, 120.00 degrees
Space group R-3 (No. 148, hexagonal axes)
One atom of each set of equivalent atoms:
Er 0.0550 0.2735 0.1999 x18
Ti 0.0000 0.0000 0.0000 x3
Ti 0.0000 0.0000 0.5000 x3
Se 0.0172 0.1998 0.3963 x18
Se 0.0333 0.1922 0.8856 x18



A relaxed ErTi2Se4 crystal, computed with PBE.

## Properties
D(E_F): 5.2 states/eV/f.u.
size of the total moment: 0.320 μB/atom
energy relative to the elements, uncorrected: -1284 meV/atom

Cell lengths 3.772, 12.297, 13.108 Å; angles 90.00, 90.00, 90.00 degrees
Space group Cmcm (No. 63)
One atom of each set of equivalent atoms:
Er 0.000 0.130 0.250 x4
Ti 0.000 0.379 0.064 x8
Se 0.000 0.000 0.000 x4
Se 0.000 0.271 0.613 x8
Se 0.000 0.458 0.250 x4



A relaxed Er3TlSe2 crystal, computed with PBE.

## Properties
D(E_F): 1.1 states/eV/f.u.
size of the total moment: 0.000 μB/atom
energy relative to the elements, uncorrected: -1246 meV/atom

Cell lengths 4.006, 5.913, 12.876 Å; angles 90.00, 90.00, 90.00 degrees
Space group Immm (No. 71)
One atom of each set of equivalent atoms:
Er 0.000 0.000 0.000 x2
Er 0.000 0.000 0.323 x4
Tl 0.000 0.500 0.000 x2
Se 0.000 0.500 0.335 x4



A relaxed ErTl2Se3 crystal, computed with PBE.

## Properties
D(E_F): 0.9 states/eV/f.u.
size of the total moment: 0.000 μB/atom
energy relative to the elements, uncorrected: -975 meV/atom

Cell lengths 7.255, 12.595, 8.038 Å; angles 90.00, 107.33, 90.00 degrees
Space group C2/m (No. 12)
One atom of each set of equivalent atoms:
Er 0.000 0.167 0.000 x4
Tl 0.000 0.000 0.500 x2
Tl 0.000 0.331 0.500 x4
Tl 0.000 0.500 0.000 x2
Se 0.228 0.000 0.208 x4
Se 0.240 0.329 0.208 x8



A relaxed ErTl5Se4 crystal, computed with PBE.

## Properties
size of the total moment: 0.000 μB/atom
energy relative to the elements, uncorrected: -759 meV/atom

Cell lengths 19.024, 4.252, 8.713 Å; angles 90.00, 110.64, 90.00 degrees
Space group C2/m (No. 12)
One atom of each set of equivalent atoms:
Er 0.000 0.000 0.000 x2
Tl 0.000 0.000 0.500 x2
Tl 0.156 0.500 0.801 x4
Tl 0.190 0.500 0.313 x4
Se 0.025 0.500 0.238 x4
Se 0.157 0.000 0.046 x4



A relaxed Er3Tl2Se6 crystal, computed with PBE.

## Properties
D(E_F): 5.0 states/eV/f.u.
size of the total moment: 0.000 μB/atom
energy relative to the elements, uncorrected: -1390 meV/atom

Cell lengths 7.148, 12.372, 7.941 Å; angles 90.00, 107.43, 90.00 degrees
Space group C2/m (No. 12)
One atom of each set of equivalent atoms:
Er 0.000 0.000 0.000 x2
Er 0.000 0.333 0.000 x4
Tl 0.000 0.167 0.500 x4
Se 0.235 0.168 0.207 x8
Se 0.237 0.500 0.205 x4



A relaxed Er4TlSe6 crystal, computed with PBE.

## Properties
D(E_F): 2.1 states/eV/f.u.
size of the total moment: 0.000 μB/atom
energy relative to the elements, uncorrected: -1620 meV/atom

Cell lengths 4.094, 13.554, 21.563 Å; angles 90.00, 90.00, 90.00 degrees
Space group Cmcm (No. 63)
One atom of each set of equivalent atoms:
Er 0.000 0.094 0.132 x8
Er 0.000 0.367 0.041 x8
Tl 0.000 0.163 0.750 x4
Se 0.000 0.000 0.000 x4
Se 0.000 0.161 0.250 x4
Se 0.000 0.272 0.581 x8
Se 0.000 0.460 0.153 x8